Entry 1:
The following is a PBE-GGA calculation of a geometry-optimized La2Dy2Hg structure, from Alexandria.

The calculation puts the formation energy at -181 meV/atom. As for the magnetic moment: 0.75 μB/f.u. The value obtained for the density of states at the Fermi level is 13.5 states/eV per cell. The volume is 31.38 A^3/atom. As for the calculated total energy: -4.05 eV per atom.

The structure belongs to space group I4/mmm (No. 139); the cell edges are 3.687, 3.687 and 23.089 Å and the angles 90.00°, 90.00° and 90.00°. Symmetry generates all atoms from La at (0.000, 0.000, 0.192), Dy at (0.000, 0.000, 0.418) and Hg at (0.000, 0.000, 0.000).

Entry 2:
The following is a PBE-GGA calculation of a geometry-optimized LaDy2Hg structure, from Alexandria.

The calculation puts the formation energy at -140 meV/atom. As for the magnetic moment: 0.00 μB/f.u. The value obtained for the density of states at the Fermi level is 14.7 states/eV per cell. The volume is 31.33 A^3/atom. As for the calculated total energy: -3.75 eV per atom.

The structure belongs to space group R3m (No. 160, hexagonal axes); the cell edges are 3.6747, 3.6747 and 32.1449 Å and the angles 90.00°, 90.00° and 120.00°. Symmetry generates all atoms from La at (0.0000, 0.0000, 0.0000), Dy at (0.0000, 0.0000, 0.2398), Dy at (0.0000, 0.0000, 0.4271) and Hg at (0.0000, 0.0000, 0.8337).

Entry 3:
The following is a PBE-GGA calculation of a geometry-optimized LaDy4Hg2 structure, from Alexandria.

The calculation puts the formation energy at 21 meV/atom. As for the magnetic moment: 0.01 μB/f.u. The value obtained for the density of states at the Fermi level is 29.4 states/eV per cell. The volume is 32.71 A^3/atom. As for the calculated total energy: -3.40 eV per atom.

The structure belongs to space group R-3m (No. 166, hexagonal axes); the cell edges are 5.0343, 5.0343 and 31.2921 Å and the angles 90.00°, 90.00° and 120.00°. Symmetry generates all atoms from La at (0.0000, 0.0000, 0.0000), Dy at (0.0000, 0.0000, 0.2026), Dy at (0.0000, 0.0000, 0.3947) and Hg at (0.0000, 0.0000, 0.1024).

Entry 4:
The following is a PBE-GGA calculation of a geometry-optimized La2DyHg8 structure, from Alexandria.

The calculation puts the formation energy at -368 meV/atom. As for the magnetic moment: 0.00 μB/f.u. The value obtained for the density of states at the Fermi level is 12.3 states/eV per cell. The volume is 26.68 A^3/atom. As for the calculated total energy: -1.90 eV per atom.

The structure belongs to space group Immm (No. 71); the cell edges are 5.281, 7.548 and 14.725 Å and the angles 90.00°, 90.00° and 90.00°. Symmetry generates all atoms from La at (0.000, 0.000, 0.197), Dy at (0.000, 0.000, 0.500), Hg at (0.000, 0.219, 0.000), Hg at (0.000, 0.292, 0.362) and Hg at (0.000, 0.500, 0.156).

Entry 5:
The following is a PBE-GGA calculation of a geometry-optimized La5DyHg4 structure, from Alexandria.

The calculation puts the formation energy at -383 meV/atom. As for the magnetic moment: 1.20 μB/f.u. The value obtained for the density of states at the Fermi level is 12.7 states/eV per cell. The volume is 30.92 A^3/atom. As for the calculated total energy: -3.43 eV per atom.

The structure belongs to space group P4/mmm (No. 123); the cell edges are 3.881, 3.881 and 20.528 Å and the angles 90.00°, 90.00° and 90.00°. Symmetry generates all atoms from La at (0.000, 0.000, 0.000), La at (0.000, 0.000, 0.192), La at (0.000, 0.000, 0.384), Dy at (0.500, 0.500, 0.500), Hg at (0.500, 0.500, 0.095) and Hg at (0.500, 0.500, 0.291).

Entry 6:
The following is a PBE-GGA calculation of a geometry-optimized La3Dy4Hg structure, from Alexandria.

The calculation puts the formation energy at -102 meV/atom. As for the magnetic moment: 0.00 μB/f.u. The value obtained for the density of states at the Fermi level is 12.5 states/eV per cell. The volume is 32.10 A^3/atom. As for the calculated total energy: -4.29 eV per atom.

The structure belongs to space group P4/mmm (No. 123); the cell edges are 3.662, 3.662 and 19.148 Å and the angles 90.00°, 90.00° and 90.00°. Symmetry generates all atoms from La at (0.000, 0.000, 0.000), La at (0.000, 0.000, 0.267), Dy at (0.500, 0.500, 0.133), Dy at (0.500, 0.500, 0.399) and Hg at (0.000, 0.000, 0.500).